Entry 1:
VASP calculation (PBE-GGA) on an optimized crystal structure of CsGaCu2Hg.

a b c (Å): 4.970 4.970 5.515
angles (deg): 90.00 90.00 90.00
Positions (direct):
Cs: 0.000 0.000 0.000
Ga: 0.500 0.500 0.500
Cu: 0.000 0.500 0.500
Cu: 0.500 0.000 0.500
Hg: 0.500 0.500 0.000

Summary:
For the formation energy from the elements, the calculation gives 0.216 eV per atom. The total energy is -2.259 eV/atom. For the volume, the calculation gives 27.2 A^3/atom.



Entry 2:
VASP calculation (PBE-GGA) on an optimized crystal structure of CsGa2CuI8.

a b c (Å): 7.443 7.443 10.576
angles (deg): 90.00 90.00 120.00
Positions (direct):
Cs: 0.000 0.000 0.000
Ga: 0.333 0.667 0.737
Ga: 0.667 0.333 0.263
Cu: 0.000 0.000 0.500
I: 0.013 0.318 0.663
I: 0.305 0.987 0.663
I: 0.318 0.305 0.337
I: 0.333 0.667 0.983
I: 0.667 0.333 0.017
I: 0.682 0.695 0.663
I: 0.695 0.013 0.337
I: 0.987 0.682 0.337

Summary:
The total energy is -2.549 eV/atom. For the volume, the calculation gives 42.3 A^3/atom. The uncorrected formation energy is -0.599 eV per atom.



Entry 3:
VASP calculation (PBE-GGA) on an optimized crystal structure of Cs2LaGaCu.

a b c (Å): 6.833 6.833 4.699
angles (deg): 90.00 90.00 90.00
Positions (direct):
Cs: 0.000 0.500 0.000
Cs: 0.500 0.000 0.000
La: 0.000 0.000 0.500
Ga: 0.500 0.500 0.500
Cu: 0.500 0.500 0.000

Summary:
For the formation energy from the elements, the calculation gives 0.600 eV per atom. The total energy is -2.152 eV/atom. For the volume, the calculation gives 43.9 A^3/atom.



Entry 4:
VASP calculation (PBE-GGA) on an optimized crystal structure of CsLiGaCu2.

a b c (Å): 4.936 4.936 5.516
angles (deg): 90.00 90.00 90.00
Positions (direct):
Cs: 0.000 0.000 0.000
Li: 0.000 0.000 0.500
Ga: 0.500 0.500 0.000
Cu: 0.000 0.500 0.500
Cu: 0.500 0.000 0.500

Summary:
For the formation energy from the elements, the calculation gives 0.769 eV per atom. The total energy is -2.028 eV/atom. For the volume, the calculation gives 26.9 A^3/atom.



Entry 5:
VASP calculation (PBE-GGA) on an optimized crystal structure of CsMgGa2Cu.

a b c (Å): 6.253 6.253 6.567
angles (deg): 90.00 90.00 90.00
Positions (direct):
Cs: 0.000 0.000 0.000
Mg: 0.000 0.000 0.500
Ga: 0.000 0.500 0.000
Ga: 0.500 0.000 0.000
Cu: 0.500 0.500 0.500

Summary:
For the formation energy from the elements, the calculation gives 1.524 eV per atom. The total energy is -0.996 eV/atom. For the volume, the calculation gives 51.4 A^3/atom.



Entry 6:
VASP calculation (PBE-GGA) on an optimized crystal structure of CsGaCu2Re.

a b c (Å): 5.148 5.148 5.356
angles (deg): 90.00 90.00 90.00
Positions (direct):
Cs: 0.000 0.000 0.000
Ga: 0.500 0.500 0.500
Cu: 0.000 0.500 0.000
Cu: 0.500 0.000 0.000
Re: 0.000 0.000 0.500

Summary:
For the formation energy from the elements, the calculation gives 2.633 eV per atom. The total energy is -2.271 eV/atom. For the volume, the calculation gives 28.4 A^3/atom.